LiZnP2 | PBE-GGA | optimized geometry

Geometry as POSCAR:
```
LiZnP2
1.0
3.710 0.000 0.000
0.000 3.710 0.000
0.000 0.000 8.518
Li Zn P
2 2 4
direct
0.000 0.000 0.000
0.500 0.500 0.500
0.000 0.500 0.250
0.500 0.000 0.750
0.000 0.000 0.500
0.000 0.500 0.750
0.500 0.000 0.250
0.500 0.500 0.000
```

The value obtained for the total magnetization is 0.00 Bohr magnetons per cell. For the formation energy, the calculation gives 0.053 eV per atom. The value obtained for the mass density is 3.8 Mg/m³.



Be4BrCl | PBE-GGA | optimized geometry

Geometry as POSCAR:
```
Be4BrCl
1.0
0.000 3.494 3.494
3.494 0.000 3.494
3.494 3.494 0.000
Be Br Cl
4 1 1
direct
0.125 0.125 0.125
0.125 0.125 0.626
0.125 0.626 0.125
0.626 0.125 0.125
0.750 0.750 0.750
0.500 0.500 0.500
```

The value obtained for the total magnetization is 0.00 Bohr magnetons per cell. The value obtained for the mass density is 2.9 Mg/m³. Its raw formation energy is 0.813 eV per atom.



PaFeRh | PBE-GGA | optimized geometry

Geometry as POSCAR:
```
PaFeRh
1.0
4.144 0.000 0.000
-2.072 3.588 0.000
0.000 0.000 3.638
Pa Fe Rh
1 1 1
direct
0.000 0.000 0.000
0.667 0.333 0.500
0.333 0.667 0.500
```

The value obtained for the total magnetization is 0.00 Bohr magnetons per cell. For the formation energy, the calculation gives -0.222 eV per atom. The value obtained for the mass density is 12.0 Mg/m³.



Cs2BRuI6 | PBE-GGA | optimized geometry

Geometry as POSCAR:
```
Cs2BRuI6
1.0
-4.549 4.549 5.019
4.549 -4.549 5.019
4.549 4.549 -5.019
Cs B Ru I
2 1 1 6
direct
0.250 0.750 0.500
0.750 0.250 0.500
0.000 0.000 0.000
0.500 0.500 0.000
0.212 0.212 0.000
0.288 0.288 0.576
0.288 0.712 0.000
0.712 0.288 0.000
0.712 0.712 0.424
0.788 0.788 0.000
```

The value obtained for the total magnetization is 1.00 Bohr magnetons per cell. The value obtained for the mass density is 4.6 Mg/m³. Its raw formation energy is -0.280 eV per atom.



CeAg2HgCl8 | PBE-GGA | optimized geometry

Geometry as POSCAR:
```
CeAg2HgCl8
1.0
6.241 0.000 0.000
0.000 8.438 0.000
-0.491 0.000 6.371
Ce Ag Hg Cl
1 2 1 8
direct
0.000 0.000 0.000
0.500 0.257 0.500
0.500 0.743 0.500
0.000 0.500 0.000
0.219 0.228 0.821
0.219 0.772 0.821
0.273 0.500 0.303
0.282 0.000 0.326
0.718 0.000 0.674
0.727 0.500 0.697
0.781 0.228 0.179
0.781 0.772 0.179
```

The value obtained for the total magnetization is 0.00 Bohr magnetons per cell. The value obtained for the mass density is 4.2 Mg/m³. Its raw formation energy is -1.093 eV per atom.



MoW5 | PBE-GGA | optimized geometry

Geometry as POSCAR:
```
MoW5
1.0
4.805 0.000 0.000
-2.402 4.161 0.000
0.000 0.000 4.943
Mo W
1 5
direct
0.000 0.000 0.000
0.000 0.665 0.500
0.333 0.667 0.000
0.335 0.335 0.500
0.665 0.000 0.500
0.667 0.333 0.000
```

The value obtained for the total magnetization is 0.00 Bohr magnetons per cell. For the formation energy, the calculation gives 0.472 eV per atom. The value obtained for the mass density is 17.1 Mg/m³.



Na2AlSiSe4 | PBE-GGA | optimized geometry

Geometry as POSCAR:
```
Na2AlSiSe4
1.0
6.682 0.000 0.000
0.000 6.682 0.000
0.000 0.000 9.971
Na Al Si Se
4 2 2 8
direct
0.000 0.000 0.000
0.000 0.500 0.250
0.500 0.000 0.750
0.500 0.500 0.500
0.000 0.000 0.500
0.500 0.500 0.000
0.000 0.500 0.750
0.500 0.000 0.250
0.190 0.245 0.626
0.245 0.810 0.374
0.255 0.690 0.874
0.310 0.255 0.126
0.690 0.745 0.126
0.745 0.310 0.874
0.755 0.190 0.374
0.810 0.755 0.626
```

The value obtained for the total magnetization is 0.83 Bohr magnetons per cell. The value obtained for the mass density is 3.1 Mg/m³. Its raw formation energy is -0.720 eV per atom.



ThAlNi | PBE-GGA | optimized geometry

Geometry as POSCAR:
```
ThAlNi
1.0
12.511 0.000 0.000
0.000 4.022 0.000
0.000 0.000 7.082
Th Al Ni
6 6 6
direct
0.040 0.000 0.248
0.250 0.000 0.620
0.460 0.000 0.248
0.540 0.000 0.752
0.750 0.000 0.380
0.960 0.000 0.752
0.138 0.500 0.926
0.250 0.500 0.267
0.362 0.500 0.926
0.638 0.500 0.074
0.750 0.500 0.733
0.862 0.500 0.074
0.099 0.500 0.557
0.250 0.000 0.041
0.401 0.500 0.557
0.599 0.500 0.443
0.750 0.000 0.959
0.901 0.500 0.443
```

The value obtained for the total magnetization is 0.00 Bohr magnetons per cell. For the formation energy, the calculation gives -0.559 eV per atom. The value obtained for the mass density is 8.9 Mg/m³.